The following is a DFT calculation (PBE) of a relaxed Li3As crystal.

a = 7.4897 Å, b = 7.4897 Å, c = 7.4897 Å
α = 147.39°, β = 147.39°, γ = 46.79°
Element x y z (fractional)
Li 0.0000 0.5000 0.5000
Li 0.2500 0.7500 0.5000
Li 0.1437 0.1437 0.0000
Li 0.5000 0.0000 0.5000
Li 0.8563 0.8563 0.0000
Li 0.7500 0.2500 0.5000
As 0.3658 0.3658 0.0000
As 0.6342 0.6342 0.0000

Results
E = -3.16 eV/atom
DOS at the Fermi energy = 2.5 states/eV/cell
Mass density = 2.62 Mg/m³
SG = I4/mmm